Compound: LiMnNb3
Source: Alexandria
Functional: PBE
Structure: optimized geometry

## Properties
Energy of formation = 3.86 eV per formula unit
Total energy = -7.4874 eV/atom

a b c (Å): 4.637 4.637 4.637
angles (deg): 90.00 90.00 90.00
Sites, in units of the cell vectors:
1 Li 0.000 0.000 0.000
2 Mn 0.500 0.500 0.500
3 Nb 0.000 0.500 0.500
4 Nb 0.500 0.000 0.500
5 Nb 0.500 0.500 0.000